Entry 1:
{"formula": "ScSb2Cl", "functional": "SCAN", "state": "PBEsol geometry", "dft_energy_ev_per_atom": -24.565, "mass_density_g_cm3": 5.8, "spacegroup": "No. 216", "raw_formation_energy_ev_per_atom": -0.38, "relative_energy_mev_per_atom": 197, "total_magnetization_mub_per_fu": 0.01, "cell": [[5.088, 0.000, 0.000], [2.544, 4.407, 0.000], [2.544, 1.469, 4.155]], "species": ["Sc", "Sb", "Sb", "Cl"], "fractional_positions": [[0.500, 0.500, 0.500], [0.000, 0.000, 0.000], [0.750, 0.750, 0.750], [0.250, 0.250, 0.250]]}

Entry 2:
{"formula": "Sc2SbCl", "functional": "SCAN", "state": "PBEsol geometry", "dft_energy_ev_per_atom": -19.299, "mass_density_g_cm3": 5.1, "spacegroup": "No. 65", "raw_formation_energy_ev_per_atom": -0.87, "relative_energy_mev_per_atom": 152, "total_magnetization_mub_per_fu": 0.00, "cell": [[3.340, 0.045, 0.000], [-0.690, 3.269, 0.000], [0.000, 0.000, 7.397]], "species": ["Sc", "Sc", "Sb", "Cl"], "fractional_positions": [[0.000, 0.000, 0.256], [0.000, 0.000, 0.744], [0.500, 0.500, 0.000], [0.500, 0.500, 0.500]]}

Entry 3:
{"formula": "ScSbCl2", "functional": "SCAN", "state": "PBEsol geometry", "dft_energy_ev_per_atom": -18.171, "mass_density_g_cm3": 4.0, "spacegroup": "No. 166", "raw_formation_energy_ev_per_atom": -1.31, "relative_energy_mev_per_atom": 0, "total_magnetization_mub_per_fu": 0.00, "cell": [[3.336, 0.000, 0.000], [1.668, 2.889, 0.000], [1.668, 0.963, 10.242]], "species": ["Sc", "Sb", "Cl", "Cl"], "fractional_positions": [[0.000, 0.000, 0.000], [0.500, 0.500, 0.500], [0.281, 0.281, 0.157], [0.719, 0.719, 0.843]]}

Entry 4:
{"formula": "ScSbCl2", "functional": "SCAN", "state": "PBEsol geometry", "dft_energy_ev_per_atom": -17.823, "mass_density_g_cm3": 4.4, "spacegroup": "No. 65", "raw_formation_energy_ev_per_atom": -0.96, "relative_energy_mev_per_atom": 348, "total_magnetization_mub_per_fu": 0.00, "cell": [[4.437, -0.012, 0.000], [-0.061, 4.437, 0.000], [0.000, 0.000, 4.581]], "species": ["Sc", "Sb", "Cl", "Cl"], "fractional_positions": [[0.000, 0.000, 0.500], [0.500, 0.500, 0.500], [0.777, 0.223, 0.000], [0.223, 0.777, 0.000]]}